No. 1
BeSnAsBr2, optimized geometry, DFT GGA-PBEsol; formation energy from raw total energies = 345 kJ/mol of formula units; DFT total energy = -13.53 eV/cell
1.0
5.3589 0.0000 0.0000
0.0000 5.3589 0.0000
0.0000 0.0000 5.3880
Be Sn As Br
1 1 1 2
direct
0.0000 0.0000 0.0000
0.5000 0.5000 0.5000
0.5000 0.5000 0.0000
0.0000 0.5000 0.5000
0.5000 0.0000 0.5000

No. 2
Sr2HgBr, optimized geometry, DFT GGA-PBEsol; excess energy over the best structure of this formula in the dataset = 0.327 eV/f.u.; formation energy from raw total energies = -363 kJ/mol of formula units; DFT total energy = -9.88 eV/cell
1.0
5.1436 0.0000 0.0000
0.0000 2.0005 6.3020
0.0000 -2.0005 6.3020
Sr Hg Br
2 1 1
direct
0.0000 0.0000 0.0000
0.5000 0.2543 0.2543
0.5000 0.5200 0.5200
0.0000 0.7496 0.7496

No. 3
KPrTe2, optimized geometry, DFT GGA-PBEsol; formation energy from raw total energies = -533 kJ/mol of formula units; DFT total energy = -18.90 eV/cell
1.0
2.2847 1.3191 8.1196
-2.2847 1.3191 8.1196
0.0000 -2.6381 8.1196
K Pr Te
1 1 2
direct
0.0000 0.0000 0.0000
0.5000 0.5000 0.5000
0.2394 0.2394 0.2394
0.7606 0.7606 0.7606